No. 1
# Tb2GaCo3

An optimized crystal structure of Tb2GaCo3 (GGA-PBE, Alexandria).

a b c (Å): 5.2449 5.2449 8.0862
angles (deg): 90.00 90.00 120.00
With the nearest neighbours (Å) after each atom.
Space group P6_3/mmc (No. 194)
Asymmetric unit:
1 Tb 0.3333 0.6667 0.0654  9 Co 2.93-3.02, 4 Tb 2.98-3.21, 3 Ga 3.07
2 Ga 0.0000 0.0000 0.0000  6 Co 2.56
3 Co 0.1737 0.3474 0.7500  4 Co 2.51-2.73, 2 Ga 2.56

Properties
* E_form: -29.4 kJ per mole of atoms
* DOS at the Fermi energy: 1.43 states/eV/atom
* theoretical density: 9.73 g/cm³
* raw total energy: -70.86 eV per cell


No. 2
# SrPrMg

An optimized crystal structure of SrPrMg (GGA-PBE, Alexandria).

a b c (Å): 5.5953 5.5953 8.1398
angles (deg): 90.00 90.00 90.00
With the nearest neighbours (Å) after each atom.
Space group P4/nmm (No. 129, origin choice 2)
Asymmetric unit:
1 Sr 0.2500 0.7500 0.0000  4 Mg 3.57, 4 Sr 3.96
2 Pr 0.2500 0.7500 0.5000  4 Mg 3.35
3 Mg 0.2500 0.2500 0.2725  4 Pr 3.35, 4 Sr 3.57

Properties
* E_form: 27.7 kJ per mole of atoms
* energy above the most stable polymorph in this dataset: 277 meV per atom
* DOS at the Fermi energy: 1.58 states/eV/atom
* theoretical density: 3.29 g/cm³
* raw total energy: -14.39 eV per cell


No. 3
# Sr2AcThAs4

An optimized crystal structure of Sr2AcThAs4 (GGA-PBE, Alexandria).

a b c (Å): 7.7113 4.4542 7.7400
angles (deg): 90.00 109.50 90.00
With the nearest neighbours (Å) after each atom.
Space group P2/m (No. 10)
Asymmetric unit:
1 Sr 0.0000 0.0000 0.0000  6 As 3.16-3.17
2 Sr 0.0000 0.5000 0.5000  6 As 3.27-3.29
3 Ac 0.5000 0.0000 0.5000  6 As 3.14-3.15
4 Th 0.5000 0.5000 0.0000  6 As 3.02-3.03
5 As 0.2625 0.5000 0.2407  1 Th 3.02, 2 Ac 3.14, 3 Sr 3.16-3.29
6 As 0.2696 0.0000 0.7683  2 Th 3.03, 1 Ac 3.15, 3 Sr 3.17-3.27

Properties
* E_form: -120.5 kJ per mole of atoms
* DOS at the Fermi energy: 1.10 states/eV/atom
* theoretical density: 6.19 g/cm³
* raw total energy: -43.48 eV per cell


No. 4
# Ho2PaZn

An optimized crystal structure of Ho2PaZn (GGA-PBE, Alexandria).

a b c (Å): 3.3927 3.3927 8.6581
angles (deg): 90.00 90.00 90.00
With the nearest neighbours (Å) after each atom.
Space group P4/mmm (No. 123)
Asymmetric unit:
1 Ho 0.0000 0.0000 0.2228  4 Zn 3.08, 4 Ho 3.39, 4 Pa 3.39
2 Pa 0.5000 0.5000 0.5000  4 Pa 3.39, 8 Ho 3.39
3 Zn 0.5000 0.5000 0.0000  8 Ho 3.08, 4 Zn 3.39

Properties
* E_form: -6.8 kJ per mole of atoms
* energy above the most stable polymorph in this dataset: 0 meV per atom
* DOS at the Fermi energy: 1.11 states/eV/atom
* theoretical density: 10.44 g/cm³
* raw total energy: -20.21 eV per cell


- Which formula does entry 2 have?
  SrPrMg


- The highest theoretical density belongs to which entry?
  Ho2PaZn


- What is the theoretical density in the second record?
  3.29 g/cm³


- What is the formula in the first record?
  Tb2GaCo3